one.
## BeCo2F (GGA+U)

Data for a relaxed structure of BeCo2F.

a = 3.9431 Å, b = 3.9431 Å, c = 3.9431 Å
α = 60.00°, β = 60.00°, γ = 60.00°
Fractional positions:
Be  0.0000  0.0000  0.0000
Co  0.2500  0.2500  0.2500
Co  0.7500  0.7500  0.7500
F  0.5000  0.5000  0.5000

Summary:
D(E_F)	1.4	states/eV/cell

two.
## BeCo2F (GGA+U)

Data for a relaxed structure of BeCo2F.

a = 5.9916 Å, b = 5.9916 Å, c = 4.9985 Å
α = 53.18°, β = 53.18°, γ = 90.00°
Fractional positions:
Be  0.5000  0.5000  0.0000
Be  0.2500  0.7500  0.5000
Co  0.6353  0.1250  0.2500
Co  0.1147  0.6250  0.2500
Co  0.3750  0.3647  0.7500
Co  0.8750  0.8853  0.7500
F  0.0000  0.0000  0.0000
F  0.7500  0.2500  0.5000

Summary:
D(E_F)	3.6	states/eV/cell

Energetically preferred structure: two | next structure: +277 meV per atom

one.
## BeCoNF2 (GGA+U)

Data for a relaxed structure of BeCoNF2.

a = 3.8407 Å, b = 3.8407 Å, c = 3.8092 Å
α = 90.00°, β = 90.00°, γ = 90.00°
Fractional positions:
Be  0.5000  0.5000  0.5000
N  0.0000  0.0000  0.5000
Co  0.0000  0.0000  0.0000
F  0.0000  0.5000  0.0000
F  0.5000  0.0000  0.0000

Summary:
D(E_F)	1.2	states/eV/cell

two.
## BeCoNF2 (GGA+U)

Data for a relaxed structure of BeCoNF2.

a = 3.0654 Å, b = 3.0654 Å, c = 5.8542 Å
α = 90.00°, β = 90.00°, γ = 90.00°
Fractional positions:
Be  0.0000  0.0000  0.0000
N  0.0000  0.0000  0.5000
Co  0.5000  0.5000  0.5000
F  0.0000  0.5000  0.0000
F  0.5000  0.0000  0.0000

Summary:
D(E_F)	1.7	states/eV/cell

Energetically preferred structure: two | next structure: +863 meV per atom